A plane-wave DFT calculation with PBE was carried out for an optimized crystal structure of Ac4Tb3Sm.

a = 5.3980 Å, b = 10.7944 Å, c = 10.5655 Å
α = 90.00°, β = 90.00°, γ = 90.00°
Fractional positions:
Ac 0.2500 0.9998 0.1381
Ac 0.2500 0.2500 0.8611
Ac 0.2500 0.5002 0.1381
Ac 0.2500 0.7500 0.8616
Ac 0.7500 0.0002 0.8619
Ac 0.7500 0.2500 0.1384
Ac 0.7500 0.4998 0.8619
Ac 0.7500 0.7500 0.1389
Tb 0.2500 0.9996 0.6102
Tb 0.2500 0.5004 0.6102
Tb 0.2500 0.7500 0.3892
Tb 0.7500 0.0004 0.3898
Tb 0.7500 0.2500 0.6108
Tb 0.7500 0.4996 0.3898
Sm 0.2500 0.2500 0.3904
Sm 0.7500 0.7500 0.6096

Calculated values
The space group is Pmmn (59). Its formation energy is 0.0540 eV/atom.

A plane-wave DFT calculation with PBE was carried out for an optimized crystal structure of BaInAsH2.

a = 6.3522 Å, b = 6.3522 Å, c = 7.7180 Å
α = 90.00°, β = 90.00°, γ = 141.79°
Fractional positions:
Ba 0.2258 0.7742 0.7500
Ba 0.7742 0.2258 0.2500
In 0.5000 0.5000 0.0000
In 0.5000 0.5000 0.5000
As 0.0522 0.9478 0.2500
As 0.9478 0.0522 0.7500
H 0.3397 0.6603 0.0580
H 0.3397 0.6603 0.4420
H 0.6603 0.3397 0.5580
H 0.6603 0.3397 0.9420

Calculated values
The space group is Cmcm (63). Its total energy is -3.576 eV/atom.

A plane-wave DFT calculation with PBE was carried out for an optimized crystal structure of CdAg2Br6.

a = 9.5961 Å, b = 9.5961 Å, c = 7.1356 Å
α = 105.71°, β = 105.71°, γ = 83.39°
Fractional positions:
Cd 0.0868 0.9132 0.7500
Cd 0.9132 0.0868 0.2500
Ag 0.1779 0.3498 0.5628
Ag 0.3498 0.1779 0.0628
Ag 0.6502 0.8221 0.9372
Ag 0.8221 0.6502 0.4372
Br 0.0062 0.2002 0.6733
Br 0.0381 0.6404 0.7573
Br 0.2002 0.0062 0.1733
Br 0.3596 0.9619 0.7427
Br 0.3751 0.3883 0.3890
Br 0.3883 0.3751 0.8890
Br 0.6117 0.6249 0.1110
Br 0.6249 0.6117 0.6110
Br 0.6404 0.0381 0.2573
Br 0.7998 0.9938 0.8267
Br 0.9619 0.3596 0.2427
Br 0.9938 0.7998 0.3267

Calculated values
The formation energy without anion corrections is -0.382 eV/atom. The space group is C2/c (15).

A plane-wave DFT calculation with PBE was carried out for an optimized crystal structure of Al6CoCu.

a = 6.8398 Å, b = 6.8398 Å, c = 4.0912 Å
α = 107.21°, β = 107.21°, γ = 120.18°
Fractional positions:
Al 0.0679 0.4200 0.7437
Al 0.2389 0.2389 0.2388
Al 0.4200 0.0679 0.7437
Al 0.5800 0.9321 0.2563
Al 0.7611 0.7611 0.7612
Al 0.9321 0.5800 0.2563
Co 0.0000 0.0000 0.5000
Cu 0.5000 0.5000 0.0000

Calculated values
The space group is C2/m (12). Its formation energy is -0.1176 eV/atom.

no.,DOS(E_F) (states/eV per cell)
1,28.7
2,0.7
3,7.8
4,3.5